A plane-wave DFT calculation with PBE was carried out for Ho3Mg3InGaAg after structural relaxation.

Lattice parameters (Å, degrees): 7.472 7.472 4.387 90.00 90.00 120.00
Sites, in units of the cell vectors:
Ag (0.000, 0.000, 0.500)
Ga (0.333, 0.667, 0.000)
Ho (0.015, 0.427, 0.500)
Ho (0.573, 0.588, 0.500)
Ho (0.412, 0.985, 0.500)
In (0.667, 0.333, 0.000)
Mg (0.240, 0.245, 0.000)
Mg (0.005, 0.760, 0.000)
Mg (0.755, 0.995, 0.000)

Raw total energy (eV per atom): -3.406
M_tot (μB/atom): 0.000